VASP calculation (GGA-PBE) on a relaxed Zr3CuS6 crystal. Values from VASP.

Results
energy above the lowest structure with this stoichiometry: 0 meV/atom
crystal system: orthorhombic
space-group type: Cmc2_1, No. 36
E_form (uncorrected): -1.296 eV per atom

```
&SYSTEM
  ibrav = 0, nat = 20, ntyp = 3
/
ATOMIC_SPECIES
Zr 91.22 Zr.upf
Cu 63.55 Cu.upf
S 32.06 S.upf
ATOMIC_POSITIONS crystal
Zr 0.4896 0.9262 0.7286
Zr 0.9896 0.7286 0.9262
Zr 0.3725 0.3969 0.6031
Zr 0.8725 0.6031 0.3969
Zr 0.9896 0.0738 0.2714
Zr 0.4896 0.2714 0.0738
Cu 0.0200 0.2161 0.7839
Cu 0.5200 0.7839 0.2161
S 0.1807 0.6992 0.6266
S 0.6807 0.6266 0.6992
S 0.2161 0.4511 0.9053
S 0.7161 0.9053 0.4511
S 0.1670 0.0395 0.9605
S 0.6532 0.2277 0.7723
S 0.1532 0.7723 0.2277
S 0.6670 0.9605 0.0395
S 0.2161 0.0947 0.5489
S 0.7161 0.5489 0.0947
S 0.1807 0.3734 0.3008
S 0.6807 0.3008 0.3734
CELL_PARAMETERS angstrom
-0.1887 4.5284 -4.1883
6.4499 -3.0658 -3.6053
-5.9071 -3.7937 -3.8357
```

***

VASP calculation (GGA-PBE) on a relaxed ZrTaBr2 crystal. Values from VASP.

Results
energy above the lowest structure with this stoichiometry: 761 meV/atom
crystal system: monoclinic
space-group type: P2/m, No. 10
E_form (uncorrected): 0.212 eV per atom

```
&SYSTEM
  ibrav = 0, nat = 4, ntyp = 3
/
ATOMIC_SPECIES
Br 79.90 Br.upf
Zr 91.22 Zr.upf
Ta 180.95 Ta.upf
ATOMIC_POSITIONS crystal
Br 0.0000 0.1223 0.9973
Br 0.0000 0.3777 0.5027
Zr 0.5000 0.7500 0.7500
Ta 0.5000 0.2500 0.2500
CELL_PARAMETERS angstrom
4.5173 0.0000 0.0000
0.0000 3.1701 -0.1975
0.0000 -0.8389 6.0450
```

***

VASP calculation (GGA-PBE) on a relaxed Rb2SbO2 crystal. Values from VASP.

Results
energy above the lowest structure with this stoichiometry: 0 meV/atom
crystal system: tetragonal
space-group type: P4/mbm, No. 127
E_form (uncorrected): -0.051 eV per atom

```
&SYSTEM
  ibrav = 0, nat = 10, ntyp = 3
/
ATOMIC_SPECIES
Sb 121.76 Sb.upf
O 16.00 O.upf
Rb 85.47 Rb.upf
ATOMIC_POSITIONS crystal
Sb 0.0000 0.0000 0.0000
Sb 0.5000 0.5000 0.0000
O 0.1751 0.6751 0.5000
O 0.6751 0.8249 0.5000
O 0.8249 0.3249 0.5000
O 0.3249 0.1751 0.5000
Rb 0.3700 0.8700 0.0000
Rb 0.8700 0.6300 0.0000
Rb 0.6300 0.1300 0.0000
Rb 0.1300 0.3700 0.0000
CELL_PARAMETERS angstrom
-3.9126 -0.8740 7.5704
2.9077 -8.0373 0.5748
2.5650 1.0313 1.4447
```

***

VASP calculation (GGA-PBE) on a relaxed RbMn3Ir crystal. Values from VASP.

Results
energy above the lowest structure with this stoichiometry: 0 meV/atom
energy relative to the elements: 0.76 eV per atom
crystal system: cubic
space-group type: Pm-3m, No. 221

```
&SYSTEM
  ibrav = 0, nat = 5, ntyp = 3
/
ATOMIC_SPECIES
Mn 54.94 Mn.upf
Ir 192.22 Ir.upf
Rb 85.47 Rb.upf
ATOMIC_POSITIONS crystal
Mn 0.0000 0.5000 0.0000
Mn 0.0000 0.0000 0.5000
Mn 0.5000 0.0000 0.0000
Ir 0.0000 0.0000 0.0000
Rb 0.5000 0.5000 0.5000
CELL_PARAMETERS angstrom
-2.1475 4.5770 -0.1624
-4.5778 -2.1397 0.2289
0.1385 0.2442 5.0505
```

***

VASP calculation (GGA-PBE) on a relaxed BaP2Pb crystal. Values from VASP.

Results
energy relative to the elements: -0.18 eV per atom
crystal system: monoclinic
space-group type: C2/m, No. 12

```
&SYSTEM
  ibrav = 0, nat = 4, ntyp = 3
/
ATOMIC_SPECIES
Ba 137.33 Ba.upf
P 30.97 P.upf
Pb 207.20 Pb.upf
ATOMIC_POSITIONS crystal
Ba 0.2500 0.2500 0.2500
P 0.0051 0.0051 0.9626
P 0.4949 0.4949 0.5374
Pb 0.7500 0.7500 0.7500
CELL_PARAMETERS angstrom
4.2499 0.0004 0.0135
1.9445 3.7790 0.0135
1.7465 1.0656 7.1924
```

***

Number 1: D(E_F) 0.47 states/eV per atom, ρ 4.54 g cm⁻³. Number 2: D(E_F) 0.93 states/eV per atom, ρ 8.36 g cm⁻³. Number 3: D(E_F) 0.32 states/eV per atom, ρ 4.71 g cm⁻³. Number 4: D(E_F) 0.55 states/eV per atom, ρ 5.68 g cm⁻³. Number 5: D(E_F) 0.71 states/eV per atom, ρ 5.85 g cm⁻³.